1.
Cs2DyMg2S4: optimized geometry, PBE.

Properties
The density of states at the Fermi level is 4.36 states/eV/cell. Its raw total energy is -38.41 eV/cell. As for the space-group type: C2/m. As for the total magnetization: 0.278 μB/f.u.

Unit cell a=8.0744 b=8.0744 c=8.2075 alpha=106.22 beta=106.22 gamma=29.58
Last column: nearest neighbours and their distance in Å.
Fractional coordinates of all 9 atoms:
Cs 0.1269 0.1269 0.0349  7 S 3.59-3.79, 1 Cs 3.84
Cs 0.8731 0.8731 0.9651  7 S 3.59-3.79, 1 Cs 3.84
Dy 0.0000 0.0000 0.5000  6 S 2.82-2.97
Mg 0.3284 0.3284 0.5242  4 S 2.41-2.55
Mg 0.6716 0.6716 0.4758  4 S 2.41-2.55
S 0.1973 0.1973 0.6505  3 Mg 2.48-2.55
S 0.4771 0.4771 0.7186  1 Mg 2.41
S 0.5229 0.5229 0.2814  1 Mg 2.41
S 0.8027 0.8027 0.3495  3 Mg 2.48-2.55

2.
CsDyMgSe3: optimized geometry, PBE.

Properties
The density of states at the Fermi level is 0.00 states/eV/cell. Its raw total energy is -53.90 eV/cell. As for the space-group type: P2_1/m. As for the total magnetization: 0.000 μB/f.u.

Unit cell a=9.6600 b=4.2992 c=10.5066 alpha=90.00 beta=111.18 gamma=90.00
Last column: nearest neighbours and their distance in Å.
Fractional coordinates of all 12 atoms:
Cs 0.2180 0.2500 0.2391  7 Se 3.65-3.97
Cs 0.7820 0.7500 0.7609  7 Se 3.65-3.97
Dy 0.3329 0.7500 0.8683  6 Se 2.81-3.13
Dy 0.6671 0.2500 0.1317  6 Se 2.81-3.13
Mg 0.0862 0.2500 0.6117  4 Se 2.53-2.65
Mg 0.9138 0.7500 0.3883  4 Se 2.53-2.65
Se 0.1269 0.2500 0.8637  1 Mg 2.53
Se 0.1980 0.7500 0.5494  3 Mg 2.59-2.65
Se 0.4773 0.7500 0.1530  3 Dy 2.81-2.89
Se 0.5227 0.2500 0.8470  3 Dy 2.81-2.89
Se 0.8020 0.2500 0.4506  3 Mg 2.59-2.65
Se 0.8731 0.7500 0.1363  1 Mg 2.53

3.
Cs3Dy2MgSe6: optimized geometry, PBE.

Properties
The density of states at the Fermi level is 10.29 states/eV/cell. Its raw total energy is -51.43 eV/cell. As for the space-group type: C2/m. As for the total magnetization: 0.000 μB/f.u.

Unit cell a=7.3150 b=7.3150 c=8.7189 alpha=98.05 beta=98.05 gamma=120.02
Last column: nearest neighbours and their distance in Å.
Fractional coordinates of all 12 atoms:
Cs 0.0000 0.0000 0.0000  6 Se 3.59-3.63
Cs 0.3326 0.6674 0.0000  6 Se 3.60-3.62
Cs 0.6674 0.3326 0.0000  6 Se 3.60-3.62
Dy 0.1664 0.8336 0.5000  6 Se 2.89
Dy 0.8336 0.1664 0.5000  6 Se 2.89
Mg 0.5000 0.5000 0.5000  6 Se 2.85
Se 0.1105 0.4392 0.3175  1 Mg 2.85, 2 Dy 2.89
Se 0.2323 0.2323 0.6832  1 Mg 2.85, 2 Dy 2.89
Se 0.4392 0.1105 0.3175  1 Mg 2.85, 2 Dy 2.89
Se 0.5608 0.8895 0.6825  1 Mg 2.85, 2 Dy 2.89
Se 0.7677 0.7677 0.3168  1 Mg 2.85, 2 Dy 2.89
Se 0.8895 0.5608 0.6825  1 Mg 2.85, 2 Dy 2.89

4.
Cs3Dy2MgTe6: optimized geometry, PBE.

Properties
The density of states at the Fermi level is 8.38 states/eV/cell. Its raw total energy is -45.95 eV/cell. As for the space-group type: C2/m. As for the total magnetization: 0.000 μB/f.u.

Unit cell a=7.7805 b=7.7805 c=9.3578 alpha=97.99 beta=97.99 gamma=120.04
Last column: nearest neighbours and their distance in Å.
Fractional coordinates of all 12 atoms:
Cs 0.0000 0.0000 0.0000  6 Te 3.82-3.85
Cs 0.3317 0.6683 0.0000  6 Te 3.82-3.84
Cs 0.6683 0.3317 0.0000  6 Te 3.82-3.84
Dy 0.1663 0.8337 0.5000  6 Te 3.11
Dy 0.8337 0.1663 0.5000  6 Te 3.11
Mg 0.5000 0.5000 0.5000  6 Te 3.06-3.07
Te 0.1092 0.4379 0.3133  1 Mg 3.06, 2 Dy 3.11
Te 0.2338 0.2338 0.6879  1 Mg 3.07, 2 Dy 3.11
Te 0.4379 0.1092 0.3133  1 Mg 3.06, 2 Dy 3.11
Te 0.5621 0.8908 0.6867  1 Mg 3.06, 2 Dy 3.11
Te 0.7662 0.7662 0.3121  1 Mg 3.07, 2 Dy 3.11
Te 0.8908 0.5621 0.6867  1 Mg 3.06, 2 Dy 3.11

5.
CsDy2MgTe4: optimized geometry, PBE.

Properties
The density of states at the Fermi level is 7.83 states/eV/cell. Its raw total energy is -67.12 eV/cell. As for the space-group type: Cmcm. As for the total magnetization: 0.000 μB/f.u.

Unit cell a=8.1942 b=8.1942 c=15.8593 alpha=90.00 beta=90.00 gamma=148.03
Last column: nearest neighbours and their distance in Å.
Fractional coordinates of all 16 atoms:
Cs 0.1168 0.8832 0.7500  6 Te 3.67-3.81, 2 Mg 4.07
Cs 0.8832 0.1168 0.2500  6 Te 3.67-3.81, 2 Mg 4.07
Dy 0.3767 0.6233 0.5538  6 Te 3.10-3.23
Dy 0.3767 0.6233 0.9462  6 Te 3.10-3.23
Dy 0.6233 0.3767 0.0538  6 Te 3.10-3.23
Dy 0.6233 0.3767 0.4462  6 Te 3.10-3.23
Mg 0.1680 0.8320 0.2500  4 Te 2.74-2.76
Mg 0.8320 0.1680 0.7500  4 Te 2.74-2.76
Te 0.0000 0.0000 0.0000  4 Dy 3.10
Te 0.0000 0.0000 0.5000  4 Dy 3.10
Te 0.2575 0.7425 0.1021  1 Mg 2.74
Te 0.2575 0.7425 0.3979  1 Mg 2.74
Te 0.4327 0.5673 0.7500  2 Mg 2.76
Te 0.5673 0.4327 0.2500  2 Mg 2.76
Te 0.7425 0.2575 0.6021  1 Mg 2.74
Te 0.7425 0.2575 0.8979  1 Mg 2.74